Entry 1:
The following is a DFT calculation (PBE) of a relaxed structure of Pr6Bi2SbSe3.

```
data_Pr6Bi2SbSe3
_space_group_name_H-M_alt 'C 1 2/m 1'
_space_group_IT_number 12
_cell_length_a 19.3828
_cell_length_b 4.4505
_cell_length_c 8.8774
_cell_angle_alpha 90.00
_cell_angle_beta 103.20
_cell_angle_gamma 90.00
loop_
_space_group_symop_operation_xyz
'x,y,z'
'-x,-y,-z'
'-x,y,-z'
'x,-y,z'
'x+1/2,y+1/2,z'
'-x+1/2,-y+1/2,-z'
'-x+1/2,y+1/2,-z'
'x+1/2,-y+1/2,z'
loop_
_atom_site_label
_atom_site_fract_x
_atom_site_fract_y
_atom_site_fract_z
Pr1 0.0042 0.0000 0.2467
Pr2 0.1620 0.5000 0.0941
Pr3 0.1685 0.5000 0.5724
Bi1 0.1669 0.0000 0.8344
Sb1 0.0000 0.5000 0.5000
Se1 0.0000 0.5000 0.0000
Se2 0.1673 0.0000 0.3340
```

DOS(E_F) in states/eV/cell: 11.25
Energy relative to the elements, uncorrected in eV per formula unit: -17.2
E in eV per atom: -5.681



Entry 2:
The following is a DFT calculation (PBE) of a relaxed structure of HgPt2Cl.

```
data_HgPt2Cl
_space_group_name_H-M_alt 'C m m m'
_space_group_IT_number 65
_space_group_name_Hall '-C 2 2'
_cell_length_a 5.8828
_cell_length_b 8.3350
_cell_length_c 2.9332
_cell_angle_alpha 90.00
_cell_angle_beta 90.00
_cell_angle_gamma 90.00
loop_
_atom_site_label
_atom_site_fract_x
_atom_site_fract_y
_atom_site_fract_z
Hg1 0.0000 0.0000 0.0000
Pt1 0.2500 0.2500 0.5000
Cl1 0.0000 0.5000 0.0000
```

DOS(E_F) in states/eV/cell: 8.00
Energy relative to the elements, uncorrected in eV per formula unit: 2.1
E in eV per atom: -3.042